Record 1
{"formula": "CaMg2TeO6", "functional": "PBE", "state": "optimized geometry", "energy_ev_per_cell": -59.9, "e_form_raw_ev_per_atom": -2.186, "crystal_system": "trigonal", "n_ef_per_ev_cell": 0.0, "lattice_angstrom": [[2.679, 1.547, 4.850], [-2.679, 1.547, 4.850], [0.000, -3.094, 4.850]], "species": ["Ca", "Mg", "Mg", "Te", "O", "O", "O", "O", "O", "O"], "fractional_positions": [[0.000, 0.000, 0.000], [0.278, 0.278, 0.278], [0.788, 0.788, 0.788], [0.481, 0.481, 0.481], [0.098, 0.656, 0.427], [0.224, 0.564, 0.858], [0.427, 0.098, 0.656], [0.564, 0.858, 0.224], [0.656, 0.427, 0.098], [0.858, 0.224, 0.564]]}



Record 2
{"formula": "Y2SiSnPd", "functional": "PBE", "state": "optimized geometry", "energy_ev_per_cell": -24.8, "e_form_raw_ev_per_atom": 0.556, "crystal_system": "tetragonal", "n_ef_per_ev_cell": 4.5, "lattice_angstrom": [[5.689, 0.000, 0.000], [0.000, 5.689, 0.000], [0.000, 0.000, 4.814]], "species": ["Y", "Y", "Si", "Sn", "Pd"], "fractional_positions": [[0.000, 0.500, 0.000], [0.500, 0.000, 0.000], [0.000, 0.000, 0.500], [0.000, 0.000, 0.000], [0.500, 0.500, 0.500]]}



Record 3
{"formula": "CaTa2Cr", "functional": "PBE", "state": "optimized geometry", "e_form_kj_per_mol_fu": 183, "energy_ev_per_cell": -33.4, "crystal_system": "tetragonal", "relative_energy_ev_per_fu": 0.000, "n_ef_per_ev_cell": 6.5, "lattice_angstrom": [[3.073, 0.000, 0.000], [0.000, 3.073, 0.000], [0.000, 0.000, 8.616]], "species": ["Ca", "Ta", "Ta", "Cr"], "fractional_positions": [[0.000, 0.000, 0.000], [0.500, 0.500, 0.327], [0.500, 0.500, 0.673], [0.000, 0.000, 0.500]]}



Record 4
{"formula": "GaTeAu", "functional": "PBE", "state": "optimized geometry", "energy_ev_per_cell": -40.7, "e_form_raw_ev_per_atom": -0.244, "crystal_system": "monoclinic", "n_ef_per_ev_cell": 0.1, "lattice_angstrom": [[6.830, 0.000, 0.000], [0.000, 6.621, 0.000], [-3.242, 0.000, 7.138]], "species": ["Ga", "Ga", "Ga", "Ga", "Te", "Te", "Te", "Te", "Au", "Au", "Au", "Au"], "fractional_positions": [[0.121, 0.103, 0.300], [0.121, 0.397, 0.800], [0.879, 0.603, 0.200], [0.879, 0.897, 0.700], [0.348, 0.127, 0.686], [0.348, 0.373, 0.186], [0.652, 0.627, 0.814], [0.652, 0.873, 0.314], [0.236, 0.744, 0.749], [0.236, 0.756, 0.249], [0.764, 0.244, 0.751], [0.764, 0.256, 0.251]]}



Record 5
{"formula": "La3Al2Cd9", "functional": "PBE", "state": "optimized geometry", "e_form_kj_per_mol_fu": -375, "energy_ev_per_cell": -34.4, "crystal_system": "orthorhombic", "n_ef_per_ev_cell": 9.1, "lattice_angstrom": [[-2.415, 5.233, 6.886], [2.415, -5.233, 6.886], [2.415, 5.233, -6.886]], "species": ["La", "La", "La", "Al", "Al", "Cd", "Cd", "Cd", "Cd", "Cd", "Cd", "Cd", "Cd", "Cd"], "fractional_positions": [[0.000, 0.000, 0.000], [0.304, 0.304, 0.000], [0.696, 0.696, 0.000], [0.308, 0.500, 0.808], [0.692, 0.500, 0.192], [0.020, 0.655, 0.365], [0.144, 0.863, 0.282], [0.289, 0.655, 0.635], [0.419, 0.137, 0.282], [0.500, 0.000, 0.500], [0.581, 0.863, 0.718], [0.711, 0.345, 0.365], [0.856, 0.137, 0.718], [0.980, 0.345, 0.635]]}



Record 6
{"formula": "UPaMn", "functional": "PBE", "state": "optimized geometry", "e_form_kj_per_mol_fu": 21, "energy_ev_per_cell": -59.5, "crystal_system": "monoclinic", "relative_energy_ev_per_fu": 0.000, "n_ef_per_ev_cell": 11.6, "lattice_angstrom": [[3.735, 0.000, 0.000], [0.000, 3.777, 0.000], [-0.056, 0.000, 8.068]], "species": ["U", "U", "Pa", "Pa", "Mn", "Mn"], "fractional_positions": [[0.249, 0.250, 0.460], [0.751, 0.750, 0.540], [0.252, 0.750, 0.137], [0.748, 0.250, 0.863], [0.248, 0.750, 0.784], [0.752, 0.250, 0.216]]}



Record 7
{"formula": "K2VMoPd", "functional": "PBE", "state": "optimized geometry", "e_form_kj_per_mol_fu": 849, "energy_ev_per_cell": -18.5, "crystal_system": "tetragonal", "relative_energy_ev_per_fu": 0.829, "n_ef_per_ev_cell": 7.5, "lattice_angstrom": [[6.439, 0.000, 0.000], [0.000, 6.439, 0.000], [0.000, 0.000, 4.811]], "species": ["K", "K", "V", "Mo", "Pd"], "fractional_positions": [[0.000, 0.500, 0.000], [0.500, 0.000, 0.000], [0.000, 0.000, 0.500], [0.500, 0.500, 0.000], [0.500, 0.500, 0.500]]}



Record 8
{"formula": "Pr3NdTm2", "functional": "PBE", "state": "optimized geometry", "e_form_kj_per_mol_fu": 186, "energy_ev_per_cell": -26.1, "crystal_system": "orthorhombic", "relative_energy_ev_per_fu": 0.315, "n_ef_per_ev_cell": 10.5, "lattice_angstrom": [[-1.756, 3.007, 9.862], [1.756, -3.007, 9.862], [1.756, 3.007, -9.862]], "species": ["Pr", "Pr", "Pr", "Nd", "Tm", "Tm"], "fractional_positions": [[0.000, 0.000, 0.000], [0.310, 0.810, 0.500], [0.690, 0.190, 0.500], [0.500, 0.000, 0.500], [0.138, 0.638, 0.500], [0.862, 0.362, 0.500]]}



Record 9
{"formula": "TaV2Re", "functional": "PBE", "state": "optimized geometry", "e_form_kj_per_mol_fu": 233, "energy_ev_per_cell": -40.1, "crystal_system": "orthorhombic", "relative_energy_ev_per_fu": 3.269, "n_ef_per_ev_cell": 5.1, "lattice_angstrom": [[-1.468, 2.214, 5.075], [1.468, -2.214, 5.075], [1.468, 2.214, -5.075]], "species": ["Ta", "V", "V", "Re"], "fractional_positions": [[0.000, 0.000, 0.000], [0.262, 0.262, 0.000], [0.738, 0.738, 0.000], [0.500, 0.500, 0.000]]}



Record 10
{"formula": "AlIrW2", "functional": "PBE", "state": "optimized geometry", "e_form_kj_per_mol_fu": 55, "energy_ev_per_cell": -37.9, "crystal_system": "tetragonal", "n_ef_per_ev_cell": 4.2, "lattice_angstrom": [[4.713, 0.000, 0.000], [0.000, 4.713, 0.000], [0.000, 0.000, 2.783]], "species": ["Al", "Ir", "W", "W"], "fractional_positions": [[0.000, 0.000, 0.000], [0.500, 0.500, 0.000], [0.000, 0.500, 0.500], [0.500, 0.000, 0.500]]}



Record 11
{"formula": "LiGa3Ni", "functional": "PBE", "state": "optimized geometry", "e_form_kj_per_mol_fu": -105, "energy_ev_per_cell": -35.7, "crystal_system": "orthorhombic", "relative_energy_ev_per_fu": 0.183, "n_ef_per_ev_cell": 3.1, "lattice_angstrom": [[3.192, -4.677, 0.000], [3.192, 4.677, 0.000], [0.000, 0.000, 5.638]], "species": ["Li", "Li", "Ga", "Ga", "Ga", "Ga", "Ga", "Ga", "Ni", "Ni"], "fractional_positions": [[0.233, 0.767, 0.750], [0.767, 0.233, 0.250], [0.292, 0.292, 0.000], [0.292, 0.292, 0.500], [0.296, 0.704, 0.250], [0.704, 0.296, 0.750], [0.708, 0.708, 0.000], [0.708, 0.708, 0.500], [0.051, 0.949, 0.250], [0.949, 0.051, 0.750]]}



Record 12
{"formula": "Ag2Bi", "functional": "PBE", "state": "optimized geometry", "e_form_kj_per_mol_fu": 26, "energy_ev_per_cell": -9.3, "crystal_system": "tetragonal", "n_ef_per_ev_cell": 0.8, "lattice_angstrom": [[-1.791, 1.791, 5.244], [1.791, -1.791, 5.244], [1.791, 1.791, -5.244]], "species": ["Ag", "Ag", "Bi"], "fractional_positions": [[0.183, 0.183, 0.000], [0.817, 0.817, 0.000], [0.500, 0.500, 0.000]]}



Record 13
{"formula": "In2Hg5Te8", "functional": "PBE", "state": "optimized geometry", "energy_ev_per_cell": -35.5, "e_form_raw_ev_per_atom": -0.229, "crystal_system": "tetragonal", "n_ef_per_ev_cell": 3.2, "lattice_angstrom": [[-4.619, 4.619, 6.458], [4.619, -4.619, 6.458], [4.619, 4.619, -6.458]], "species": ["In", "In", "Hg", "Hg", "Hg", "Hg", "Hg", "Te", "Te", "Te", "Te", "Te", "Te", "Te", "Te"], "fractional_positions": [[0.246, 0.246, 0.000], [0.754, 0.754, 0.000], [0.228, 0.228, 0.456], [0.228, 0.772, 0.000], [0.250, 0.750, 0.500], [0.772, 0.228, 0.000], [0.772, 0.772, 0.544], [0.372, 0.620, 0.752], [0.380, 0.132, 0.752], [0.380, 0.628, 0.248], [0.413, 0.142, 0.271], [0.858, 0.129, 0.271], [0.858, 0.587, 0.729], [0.868, 0.620, 0.248], [0.871, 0.142, 0.729]]}



Record 14
{"formula": "KAg3I", "functional": "PBE", "state": "optimized geometry", "energy_ev_per_cell": -6.6, "e_form_raw_ev_per_atom": 0.926, "crystal_system": "cubic", "relative_energy_ev_per_fu": 2.152, "n_ef_per_ev_cell": 7.1, "lattice_angstrom": [[5.784, 0.000, 0.000], [0.000, 5.784, 0.000], [0.000, 0.000, 5.784]], "species": ["K", "Ag", "Ag", "Ag", "I"], "fractional_positions": [[0.000, 0.000, 0.000], [0.000, 0.000, 0.500], [0.000, 0.500, 0.000], [0.500, 0.000, 0.000], [0.500, 0.500, 0.500]]}



Record 15
{"formula": "SrLaCl2", "functional": "PBE", "state": "optimized geometry", "energy_ev_per_cell": -16.1, "e_form_raw_ev_per_atom": -1.445, "crystal_system": "orthorhombic", "relative_energy_ev_per_fu": 0.540, "n_ef_per_ev_cell": 3.6, "lattice_angstrom": [[-1.850, 3.681, 4.738], [1.850, -3.681, 4.738], [1.850, 3.681, -4.738]], "species": ["Sr", "La", "Cl", "Cl"], "fractional_positions": [[0.000, 0.000, 0.000], [0.500, 0.500, 0.000], [0.255, 0.755, 0.500], [0.745, 0.245, 0.500]]}



Record 16
{"formula": "Sc3HgO", "functional": "PBE", "state": "optimized geometry", "energy_ev_per_cell": -123.0, "e_form_raw_ev_per_atom": -1.301, "crystal_system": "orthorhombic", "relative_energy_ev_per_fu": 0.960, "n_ef_per_ev_cell": 13.9, "lattice_angstrom": [[5.274, 0.000, 0.000], [0.000, 12.441, 0.000], [0.000, 0.000, 6.167]], "species": ["Sc", "Sc", "Sc", "Sc", "Sc", "Sc", "Sc", "Sc", "Sc", "Sc", "Sc", "Sc", "Hg", "Hg", "Hg", "Hg", "O", "O", "O", "O"], "fractional_positions": [[0.002, 0.121, 0.096], [0.002, 0.379, 0.096], [0.027, 0.250, 0.564], [0.473, 0.750, 0.064], [0.498, 0.621, 0.596], [0.498, 0.879, 0.596], [0.502, 0.121, 0.404], [0.502, 0.379, 0.404], [0.527, 0.250, 0.936], [0.973, 0.750, 0.436], [0.998, 0.621, 0.904], [0.998, 0.879, 0.904], [0.000, 0.000, 0.500], [0.000, 0.500, 0.500], [0.500, 0.000, 0.000], [0.500, 0.500, 0.000], [0.069, 0.750, 0.110], [0.431, 0.250, 0.610], [0.569, 0.750, 0.390], [0.931, 0.250, 0.890]]}



Record 17
{"formula": "Bi4S4F3", "functional": "PBE", "state": "optimized geometry", "energy_ev_per_cell": -46.1, "e_form_raw_ev_per_atom": -0.768, "crystal_system": "orthorhombic", "n_ef_per_ev_cell": 3.6, "lattice_angstrom": [[-1.819, 4.477, 7.631], [1.819, -4.477, 7.631], [1.819, 4.477, -7.631]], "species": ["Bi", "Bi", "Bi", "Bi", "S", "S", "S", "S", "F", "F", "F"], "fractional_positions": [[0.239, 0.239, 0.000], [0.265, 0.000, 0.265], [0.735, 0.000, 0.735], [0.761, 0.761, 0.000], [0.149, 0.832, 0.317], [0.484, 0.168, 0.317], [0.516, 0.832, 0.683], [0.851, 0.168, 0.683], [0.133, 0.633, 0.500], [0.500, 0.500, 0.000], [0.867, 0.367, 0.500]]}



Record 18
{"formula": "Sr4Hf3O10", "functional": "PBE", "state": "optimized geometry", "energy_ev_per_cell": -284.9, "e_form_raw_ev_per_atom": -3.311, "crystal_system": "orthorhombic", "relative_energy_ev_per_fu": 0.000, "n_ef_per_ev_cell": 0.0, "lattice_angstrom": [[14.836, -2.889, 0.000], [14.836, 2.889, 0.000], [0.000, 0.000, 5.778]], "species": ["Sr", "Sr", "Sr", "Sr", "Sr", "Sr", "Sr", "Sr", "Hf", "Hf", "Hf", "Hf", "Hf", "Hf", "O", "O", "O", "O", "O", "O", "O", "O", "O", "O", "O", "O", "O", "O", "O", "O", "O", "O", "O", "O"], "fractional_positions": [[0.070, 0.070, 0.000], [0.205, 0.205, 0.000], [0.295, 0.295, 0.500], [0.430, 0.430, 0.500], [0.570, 0.570, 0.500], [0.705, 0.705, 0.500], [0.795, 0.795, 0.000], [0.930, 0.930, 0.000], [0.000, 0.000, 0.500], [0.141, 0.141, 0.500], [0.359, 0.359, 0.000], [0.500, 0.500, 0.000], [0.641, 0.641, 0.000], [0.859, 0.859, 0.500], [0.063, 0.658, 0.203], [0.070, 0.070, 0.500], [0.158, 0.563, 0.703], [0.197, 0.803, 0.803], [0.211, 0.211, 0.500], [0.289, 0.289, 0.000], [0.303, 0.697, 0.303], [0.342, 0.937, 0.203], [0.430, 0.430, 0.000], [0.437, 0.842, 0.703], [0.563, 0.158, 0.297], [0.570, 0.570, 0.000], [0.658, 0.063, 0.797], [0.697, 0.303, 0.697], [0.711, 0.711, 0.000], [0.789, 0.789, 0.500], [0.803, 0.197, 0.197], [0.842, 0.437, 0.297], [0.930, 0.930, 0.500], [0.937, 0.342, 0.797]]}



Record 19
{"formula": "Na3Ce2PbS6", "functional": "PBE", "state": "optimized geometry", "energy_ev_per_cell": -62.0, "e_form_raw_ev_per_atom": -1.474, "crystal_system": "monoclinic", "n_ef_per_ev_cell": 6.5, "lattice_angstrom": [[3.599, -6.232, 0.000], [3.599, 6.232, 0.000], [-2.417, 0.000, 6.631]], "species": ["Na", "Na", "Na", "Ce", "Ce", "Pb", "S", "S", "S", "S", "S", "S"], "fractional_positions": [[0.000, 0.000, 0.000], [0.339, 0.661, 0.000], [0.661, 0.339, 0.000], [0.167, 0.833, 0.500], [0.833, 0.167, 0.500], [0.500, 0.500, 0.500], [0.070, 0.422, 0.268], [0.226, 0.226, 0.735], [0.422, 0.070, 0.268], [0.578, 0.930, 0.732], [0.774, 0.774, 0.265], [0.930, 0.578, 0.732]]}



Record 20
{"formula": "KSbO3", "functional": "PBE", "state": "optimized geometry", "energy_ev_per_cell": -112.2, "e_form_raw_ev_per_atom": -1.592, "crystal_system": "cubic", "lattice_angstrom": [[0.000, 5.314, 5.314], [5.314, 0.000, 5.314], [5.314, 5.314, 0.000]], "species": ["K", "K", "K", "K", "Sb", "Sb", "Sb", "Sb", "O", "O", "O", "O", "O", "O", "O", "O", "O", "O", "O", "O"], "fractional_positions": [[0.000, 0.000, 0.000], [0.000, 0.000, 0.500], [0.000, 0.500, 0.000], [0.500, 0.000, 0.000], [0.000, 0.500, 0.500], [0.500, 0.000, 0.500], [0.500, 0.500, 0.000], [0.500, 0.500, 0.500], [0.179, 0.179, 0.571], [0.179, 0.571, 0.179], [0.179, 0.571, 0.571], [0.429, 0.429, 0.821], [0.429, 0.821, 0.429], [0.429, 0.821, 0.821], [0.571, 0.179, 0.179], [0.571, 0.179, 0.571], [0.571, 0.571, 0.179], [0.821, 0.429, 0.429], [0.821, 0.429, 0.821], [0.821, 0.821, 0.429]]}



What did we get for mass density? Answer: 4.30, 4.59, 9.27, 8.11, 7.07, 15.29, 2.76, 7.21, 11.80, 15.77, 5.42, 10.48, 6.79, 4.20, 3.83, 5.77, 6.82, 7.01, 4.18, 4.62 g/cm³, in the order shown.